(1)
5
Lattice="-0.6047 2.2271 -4.2973 -3.2092 -3.4264 -1.3242 -3.6232 2.6631 1.8900" Properties=species:S:1:pos:R:3 comment="RbTc3Mo, relaxed, DFT GGA-PBE" rho_g_cm3=6.80 m_tot_mub_per_fu=4.16 delta_e_f_kj_per_mol_fu=848 relative_energy_kj_per_mol_atoms=0.0 pbc="T T T"
Mo 0.0000 0.0000 0.0000
Tc -1.6046 -1.7132 -0.6621
Tc -1.8116 1.3316 0.9450
Tc -0.3023 1.1136 -2.1486
Rb -3.7185 0.7319 -1.8657

***

(2)
6
Lattice="4.8122 0.0000 0.0035 0.0000 4.1407 0.0000 -1.6738 0.0000 8.8866" Properties=species:S:1:pos:R:3 comment="SrSbAs, relaxed, DFT GGA-PBE" rho_g_cm3=5.33 m_tot_mub_per_fu=0.00 formation_energy_uncorrected_ev_per_fu=-2.09 relative_energy_kj_per_mol_atoms=3.9 pbc="T T T"
Sb 0.1800 2.0703 7.4090
Sb 0.2247 0.0000 3.9700
As 1.9791 2.0703 3.6089
As 2.0027 0.0000 0.3588
Sr 2.5692 0.0000 6.3045
Sr 4.3965 2.0703 1.2718

***

(3)
16
Lattice="-6.5969 4.9403 2.1706 -5.7192 -5.5721 -4.6998 4.8381 -3.5499 6.0517" Properties=species:S:1:pos:R:3 comment="La8GaOs3Br4, relaxed, DFT GGA-PBE" rho_g_cm3=6.97 m_tot_mub_per_fu=0.00 formation_energy_uncorrected_ev_per_fu=-14.13 pbc="T T T"
La -0.9451 -6.0636 3.0308
La -3.2288 -4.3879 0.1740
La -0.8790 -2.2260 2.3949
La -4.0589 -3.7318 4.0553
La -3.4190 -0.4499 -0.5328
La -6.5989 -1.9557 1.1276
La -4.2492 0.2062 3.3485
La -6.5328 1.8819 0.4917
Ga -2.8596 -2.7861 -2.3499
Os -6.1580 -0.3159 -1.2646
Os -3.7390 -2.0908 1.7612
Os -0.4405 -4.5610 0.6759
Br -3.2985 2.4701 1.0853
Br -0.8794 0.6952 4.1111
Br 0.0000 0.0000 0.0000
Br 2.4191 -1.7749 3.0258